Computed, not measured: a PBEsol-optimized structure of K4PbAu at the meta-GGA SCAN level of DFT.

Output
space group: F-43m
formation enthalpy at 0 K: 0.226 eV/atom

a = 6.6476 Å, b = 6.6476 Å, c = 6.6476 Å
α = 60.00°, β = 60.00°, γ = 60.00°
Last column: nearest neighbours and their distance in Å.
Fractional coordinates of all 6 atoms:
K: 0.1238 0.1238 0.1238  6 K 3.29-3.35
K: 0.1238 0.1238 0.6285  6 K 3.29-3.35
K: 0.1238 0.6285 0.1238  6 K 3.29-3.35
K: 0.6285 0.1238 0.1238  6 K 3.29-3.35
Pb: 0.5000 0.5000 0.5000  12 K 3.90, 4 Au 4.07
Au: 0.7500 0.7500 0.7500  12 K 3.89, 4 Pb 4.07



Computed, not measured: a PBEsol-optimized structure of KPbAu4 at the meta-GGA SCAN level of DFT.

Output
space group: F-43m
formation enthalpy at 0 K: -0.161 eV/atom

a = 5.6282 Å, b = 5.6282 Å, c = 5.6282 Å
α = 60.00°, β = 60.00°, γ = 60.00°
Last column: nearest neighbours and their distance in Å.
Fractional coordinates of all 6 atoms:
K: 0.0000 0.0000 0.0000  12 Au 3.30, 4 Pb 3.45
Pb: 0.2500 0.2500 0.2500  12 Au 3.30, 4 K 3.45
Au: 0.1248 0.6251 0.6251  6 Au 2.81-2.82
Au: 0.6251 0.1248 0.6251  6 Au 2.81-2.82
Au: 0.6251 0.6251 0.1248  6 Au 2.81-2.82
Au: 0.6251 0.6251 0.6251  6 Au 2.81-2.82



Computed, not measured: a PBEsol-optimized structure of K2Pb2Au at the meta-GGA SCAN level of DFT.

Output
space group: I4/mmm
formation enthalpy at 0 K: -0.200 eV/atom

a = 10.2317 Å, b = 10.2317 Å, c = 10.2317 Å
α = 155.63°, β = 155.63°, γ = 34.73°
Last column: nearest neighbours and their distance in Å.
Fractional coordinates of all 5 atoms:
K: 0.0908 0.0908 0.0000  4 Au 3.53, 1 K 3.55, 4 Pb 3.79
K: 0.9092 0.9092 0.0000  4 Au 3.53, 1 K 3.55, 4 Pb 3.79
Pb: 0.2500 0.7500 0.5000  4 Pb 3.05
Pb: 0.7500 0.2500 0.5000  4 Pb 3.05
Au: 0.5000 0.5000 0.0000  8 K 3.53



Computed, not measured: a PBEsol-optimized structure of KPt2Au at the meta-GGA SCAN level of DFT.

Output
space group: P4mm
E above lowest polymorph: 0.000 eV/f.u.
formation enthalpy at 0 K: 0.123 eV/atom

a = 2.8159 Å, b = 2.8159 Å, c = 9.2589 Å
α = 90.00°, β = 90.00°, γ = 90.00°
Last column: nearest neighbours and their distance in Å.
Fractional coordinates of all 4 atoms:
K: 0.0000 0.0000 0.0000  4 K 2.82
Pt: 0.0000 0.0000 0.4841  8 Pt 2.76-2.82, 4 Au 2.85
Pt: 0.5000 0.5000 0.2783  8 Pt 2.76-2.82
Au: 0.5000 0.5000 0.7049  4 Au 2.82, 4 Pt 2.85



Computed, not measured: a PBEsol-optimized structure of KPtAu2 at the meta-GGA SCAN level of DFT.

Output
space group: R3m
formation enthalpy at 0 K: 0.156 eV/atom

a = 10.4413 Å, b = 10.4413 Å, c = 10.4413 Å
α = 15.77°, β = 15.77°, γ = 15.77°
Last column: nearest neighbours and their distance in Å.
Fractional coordinates of all 4 atoms:
K: 0.0000 0.0000 0.0000  6 K 2.86, 3 Pt 3.13
Pt: 0.2475 0.2475 0.2475  6 Pt 2.86, 3 Au 2.88, 3 K 3.13
Au: 0.5046 0.5046 0.5046  9 Au 2.86-2.96, 3 Pt 2.88
Au: 0.7587 0.7587 0.7587  9 Au 2.86-2.96



Computed, not measured: a PBEsol-optimized structure of KPt2Au at the meta-GGA SCAN level of DFT.

Output
space group: I-4m2
E above lowest polymorph: 1.277 eV/f.u.
formation enthalpy at 0 K: 0.442 eV/atom

a = 4.9469 Å, b = 4.9469 Å, c = 4.9469 Å
α = 128.72°, β = 128.72°, γ = 75.45°
Last column: nearest neighbours and their distance in Å.
Fractional coordinates of all 4 atoms:
K: 0.0000 0.0000 0.0000  8 Pt 2.90-3.03, 4 Au 2.90
Pt: 0.5000 0.5000 0.0000  4 Pt 2.90, 4 Au 2.90, 4 K 3.03
Pt: 0.7500 0.2500 0.5000  4 Pt 2.90, 4 K 2.90, 4 Au 3.03
Au: 0.2500 0.7500 0.5000  4 K 2.90, 8 Pt 2.90-3.03



Computed, not measured: a PBEsol-optimized structure of KRb3Au at the meta-GGA SCAN level of DFT.

Output
space group: Pm-3m
E above lowest polymorph: 0.000 eV/f.u.
formation enthalpy at 0 K: -0.146 eV/atom

a = 6.7819 Å, b = 6.7819 Å, c = 6.7819 Å
α = 90.00°, β = 90.00°, γ = 90.00°
Last column: nearest neighbours and their distance in Å.
Fractional coordinates of all 5 atoms:
K: 0.0000 0.0000 0.0000  12 Rb 4.80
Rb: 0.0000 0.5000 0.5000  2 Au 3.39
Rb: 0.5000 0.0000 0.5000  2 Au 3.39
Rb: 0.5000 0.5000 0.0000  2 Au 3.39
Au: 0.5000 0.5000 0.5000  6 Rb 3.39



Computed, not measured: a PBEsol-optimized structure of KRb2Au at the meta-GGA SCAN level of DFT.

Output
space group: I-42d
formation enthalpy at 0 K: -0.159 eV/atom

a = 8.9982 Å, b = 8.9982 Å, c = 8.9982 Å
α = 97.75°, β = 97.75°, γ = 136.91°
Last column: nearest neighbours and their distance in Å.
Fractional coordinates of all 8 atoms:
K: 0.0000 0.0000 0.0000  2 Au 3.30
K: 0.7500 0.2500 0.5000  2 Au 3.30
Rb: 0.2550 0.1250 0.6300  2 Au 3.38
Rb: 0.3750 0.7450 0.8700  2 Au 3.38
Rb: 0.4950 0.6250 0.3700  2 Au 3.38
Rb: 0.8750 0.5050 0.1300  2 Au 3.38
Au: 0.2500 0.7500 0.5000  2 K 3.30, 4 Rb 3.38
Au: 0.5000 0.5000 0.0000  2 K 3.30, 4 Rb 3.38



Computed, not measured: a PBEsol-optimized structure of KRbAu2 at the meta-GGA SCAN level of DFT.

Output
space group: Fm-3m
formation enthalpy at 0 K: -0.378 eV/atom

a = 5.5610 Å, b = 5.5610 Å, c = 5.5610 Å
α = 60.00°, β = 60.00°, γ = 60.00°
Last column: nearest neighbours and their distance in Å.
Fractional coordinates of all 4 atoms:
K: 0.0000 0.0000 0.0000  8 Au 3.41
Rb: 0.5000 0.5000 0.5000  8 Au 3.41
Au: 0.2500 0.2500 0.2500  4 Rb 3.41, 4 K 3.41
Au: 0.7500 0.7500 0.7500  4 Rb 3.41, 4 K 3.41



Computed, not measured: a PBEsol-optimized structure of K2RbAu2 at the meta-GGA SCAN level of DFT.

Output
space group: I4/mmm
E above lowest polymorph: 0.088 eV/f.u.
formation enthalpy at 0 K: -0.314 eV/atom

a = 7.8286 Å, b = 7.8286 Å, c = 7.8286 Å
α = 142.11°, β = 142.11°, γ = 54.67°
Last column: nearest neighbours and their distance in Å.
Fractional coordinates of all 5 atoms:
K: 0.2500 0.7500 0.5000  4 Au 3.31, 4 K 3.59
K: 0.7500 0.2500 0.5000  4 Au 3.31, 4 K 3.59
Rb: 0.0000 0.0000 0.0000  8 Au 3.84
Au: 0.4028 0.4028 0.0000  1 Au 2.70
Au: 0.5972 0.5972 0.0000  1 Au 2.70



Computed, not measured: a PBEsol-optimized structure of K2RbAu2 at the meta-GGA SCAN level of DFT.

Output
space group: P4/mbm
E above lowest polymorph: 0.000 eV/f.u.
formation enthalpy at 0 K: -0.332 eV/atom

a = 8.6814 Å, b = 8.6814 Å, c = 4.6226 Å
α = 90.00°, β = 90.00°, γ = 90.00°
Last column: nearest neighbours and their distance in Å.
Fractional coordinates of all 10 atoms:
K: 0.1624 0.3376 0.0000  6 Au 3.36-3.58
K: 0.3376 0.8376 0.0000  6 Au 3.36-3.58
K: 0.6624 0.1624 0.0000  6 Au 3.36-3.58
K: 0.8376 0.6624 0.0000  6 Au 3.36-3.58
Rb: 0.0000 0.0000 0.5000  4 Au 3.49
Rb: 0.5000 0.5000 0.5000  4 Au 3.49
Au: 0.1148 0.6148 0.5000  1 Au 2.82
Au: 0.3852 0.1148 0.5000  1 Au 2.82
Au: 0.6148 0.8852 0.5000  1 Au 2.82
Au: 0.8852 0.3852 0.5000  1 Au 2.82



Computed, not measured: a PBEsol-optimized structure of KRb3Au at the meta-GGA SCAN level of DFT.

Output
space group: Pm-3m
E above lowest polymorph: 3.108 eV/f.u.
formation enthalpy at 0 K: 0.476 eV/atom

a = 7.5093 Å, b = 7.5093 Å, c = 7.5093 Å
α = 90.00°, β = 90.00°, γ = 90.00°
Last column: nearest neighbours and their distance in Å.
Fractional coordinates of all 5 atoms:
K: 0.0000 0.0000 0.0000  6 Rb 3.75
Rb: 0.0000 0.0000 0.5000  2 K 3.75
Rb: 0.0000 0.5000 0.0000  2 K 3.75
Rb: 0.5000 0.0000 0.0000  2 K 3.75
Au: 0.5000 0.5000 0.5000  12 Rb 5.31



no.,final energy (eV per atom)
1,-29.483
2,-60.284
3,-47.675
4,-54.345
5,-54.053
6,-54.026
7,-28.087
8,-29.900
9,-42.224
10,-35.456
11,-35.474
12,-27.465